DFT (PBE-GGA) results for a relaxed structure of Al8Fe2Ni.

Lattice parameters (Å, degrees): 4.0383 5.0364 8.4233 106.99 103.87 90.00
Site moments in Bohr magnetons follow the coordinates.
Fractional coordinates of all 11 atoms:
Al  0.4055  0.5348  0.8111  0.00
Al  0.6519  0.0021  0.3038  0.00
Al  0.7701  0.6741  0.5402  0.00
Al  0.9589  0.2033  0.9178  0.00
Al  0.2299  0.3259  0.4598  0.00
Al  0.3481  0.9979  0.6962  0.00
Al  0.5945  0.4652  0.1889  0.00
Al  0.0411  0.7967  0.0822  0.00
Fe  0.8066  0.2109  0.6132  0.08
Fe  0.1934  0.7891  0.3868  0.08
Ni  0.5000  0.0000  0.0000  0.00

Summary:
offset from the most stable computed form: 0.0 kJ/mol of atoms
spin magnetization: 0.2 μB/f.u.
calculated volume: 14.4 Å³/atom
energy relative to the elements: -0.295 eV per atom
energy: -0.1867 hartree per atom



DFT (PBE-GGA) results for a relaxed structure of AlFe6Ni.

Lattice parameters (Å, degrees): 6.2590 6.2590 10.2907 90.00 90.00 110.78
Site moments in Bohr magnetons follow the coordinates.
Fractional coordinates of all 32 atoms:
Al  0.2518  0.7482  0.7500  -0.09
Al  0.7482  0.2518  0.7500  -0.09
Al  0.5000  0.5000  0.4988  -0.09
Al  0.5000  0.5000  0.0012  -0.09
Fe  0.2503  0.7497  0.4982  2.36
Fe  0.8771  0.6278  0.6234  2.34
Fe  0.1229  0.3722  0.6234  2.34
Fe  0.7497  0.2503  0.4982  2.36
Fe  0.3722  0.1229  0.6234  2.34
Fe  0.6278  0.8771  0.6234  2.34
Fe  0.5000  0.5000  0.2500  2.41
Fe  0.1216  0.3727  0.3731  2.44
Fe  0.3727  0.1216  0.3731  2.44
Fe  0.2503  0.7497  0.0018  2.36
Fe  0.8784  0.6273  0.1269  2.44
Fe  0.1216  0.3727  0.1269  2.44
Fe  0.7497  0.2503  0.0018  2.36
Fe  0.3727  0.1216  0.1269  2.44
Fe  0.6273  0.8784  0.1269  2.44
Fe  0.5000  0.5000  0.7500  2.31
Fe  0.1229  0.3722  0.8766  2.34
Fe  0.3722  0.1229  0.8766  2.34
Fe  0.0000  0.0000  0.2500  2.46
Fe  0.6273  0.8784  0.3731  2.44
Fe  0.8784  0.6273  0.3731  2.44
Fe  0.0000  0.0000  0.7500  2.32
Fe  0.6278  0.8771  0.8766  2.34
Fe  0.8771  0.6278  0.8766  2.34
Ni  0.2511  0.7489  0.2500  0.55
Ni  0.7489  0.2511  0.2500  0.55
Ni  0.0000  0.0000  0.4973  0.56
Ni  0.0000  0.0000  0.0027  0.56

Summary:
spin magnetization: 14.5 μB/f.u.
calculated volume: 11.8 Å³/atom
energy relative to the elements: -0.065 eV per atom
energy: -0.2794 hartree per atom



DFT (PBE-GGA) results for a relaxed structure of AlFe2Ni.

Lattice parameters (Å, degrees): 3.9947 2.5469 4.7505 80.69 90.00 90.00
Site moments in Bohr magnetons follow the coordinates.
Fractional coordinates of all 4 atoms:
Ni  0.0000  0.5088  0.4946  0.54
Fe  0.0000  0.0485  0.9998  2.26
Fe  0.5000  0.2213  0.2508  2.31
Al  0.5000  0.7213  0.7548  -0.04

Summary:
spin magnetization: 4.9 μB/f.u.
calculated volume: 11.9 Å³/atom
energy relative to the elements: -0.179 eV per atom
energy: -0.2496 hartree per atom



DFT (PBE-GGA) results for a relaxed structure of Al8Fe3Ni2.

Lattice parameters (Å, degrees): 4.0203 7.0707 7.0707 68.20 90.00 90.00
Site moments in Bohr magnetons follow the coordinates.
Fractional coordinates of all 13 atoms:
Al  0.0000  0.3847  0.3847  -0.02
Al  0.0000  0.6153  0.6153  -0.02
Al  0.0000  0.8554  0.8555  -0.01
Al  0.0000  0.1446  0.1445  -0.01
Al  0.5000  0.3846  0.8694  -0.01
Al  0.5000  0.8694  0.3846  -0.01
Al  0.5000  0.1306  0.6154  -0.01
Al  0.5000  0.6154  0.1306  -0.01
Fe  0.5000  0.0000  0.0000  1.83
Fe  0.0000  0.7773  0.2227  1.29
Fe  0.0000  0.2227  0.7773  1.29
Ni  0.5000  0.7484  0.7484  -0.02
Ni  0.5000  0.2516  0.2516  -0.02

Summary:
spin magnetization: 4.1 μB/f.u.
calculated volume: 14.4 Å³/atom
energy relative to the elements: -0.330 eV per atom
energy: -0.2012 hartree per atom



DFT (PBE-GGA) results for a relaxed structure of AlFe3Ni12.

Lattice parameters (Å, degrees): 3.5535 3.5535 14.1426 90.00 90.00 90.00
Site moments in Bohr magnetons follow the coordinates.
Fractional coordinates of all 16 atoms:
Al  0.0000  0.0000  0.0000  -0.01
Fe  0.0000  0.0000  0.2495  2.90
Fe  0.0000  0.0000  0.5000  2.89
Fe  0.0000  0.0000  0.7505  2.90
Ni  0.5000  0.5000  0.0000  0.24
Ni  0.5000  0.5000  0.2508  0.64
Ni  0.5000  0.5000  0.5000  0.71
Ni  0.5000  0.5000  0.7492  0.64
Ni  0.5000  0.0000  0.1272  0.46
Ni  0.5000  0.0000  0.3754  0.69
Ni  0.5000  0.0000  0.6246  0.69
Ni  0.5000  0.0000  0.8728  0.46
Ni  0.0000  0.5000  0.1272  0.46
Ni  0.0000  0.5000  0.3754  0.69
Ni  0.0000  0.5000  0.6246  0.69
Ni  0.0000  0.5000  0.8728  0.46

Summary:
spin magnetization: 15.0 μB/f.u.
calculated volume: 11.2 Å³/atom
energy relative to the elements: -0.178 eV per atom
energy: -0.2328 hartree per atom



DFT (PBE-GGA) results for a relaxed structure of AlFe2Ni2.

Lattice parameters (Å, degrees): 6.9379 6.9379 2.5939 90.00 90.00 90.00
Site moments in Bohr magnetons follow the coordinates.
Fractional coordinates of all 10 atoms:
Ni  0.1765  0.6765  0.5000  0.64
Ni  0.6765  0.8235  0.5000  0.64
Ni  0.8235  0.3235  0.5000  0.64
Ni  0.3235  0.1765  0.5000  0.64
Fe  0.3811  0.8811  0.0000  2.54
Fe  0.8811  0.6189  0.0000  2.53
Fe  0.6189  0.1189  0.0000  2.54
Fe  0.1189  0.3811  0.0000  2.53
Al  0.0000  0.0000  0.0000  0.01
Al  0.5000  0.5000  0.0000  0.01

Summary:
spin magnetization: 6.3 μB/f.u.
calculated volume: 12.5 Å³/atom
energy relative to the elements: 0.037 eV per atom
energy: -0.2355 hartree per atom



DFT (PBE-GGA) results for a relaxed structure of AlFe2Ni3.

Lattice parameters (Å, degrees): 3.6355 5.7742 6.9659 90.00 90.00 71.65
Site moments in Bohr magnetons follow the coordinates.
Fractional coordinates of all 12 atoms:
Al  0.3402  0.3195  0.0000  -0.03
Al  0.6598  0.6805  0.0000  -0.03
Fe  0.0000  0.0000  0.0000  2.37
Fe  0.0000  0.0000  0.5000  2.65
Fe  0.3332  0.3335  0.5000  2.67
Fe  0.6668  0.6665  0.5000  2.67
Ni  0.8341  0.3319  0.7523  0.41
Ni  0.5000  0.0000  0.2549  0.52
Ni  0.1659  0.6681  0.2477  0.41
Ni  0.8341  0.3319  0.2477  0.41
Ni  0.1659  0.6681  0.7523  0.41
Ni  0.5000  0.0000  0.7451  0.52

Summary:
spin magnetization: 6.3 μB/f.u.
calculated volume: 11.6 Å³/atom
energy relative to the elements: -0.224 eV per atom
energy: -0.2410 hartree per atom



DFT (PBE-GGA) results for a relaxed structure of AlFeNi2.

Lattice parameters (Å, degrees): 4.4816 4.4816 4.2703 77.46 77.46 34.31
Site moments in Bohr magnetons follow the coordinates.
Fractional coordinates of all 4 atoms:
Ni  0.0005  0.0005  0.0193  0.32
Ni  0.7505  0.7505  0.7329  0.39
Fe  0.2525  0.2525  0.2240  2.56
Al  0.4967  0.4967  0.5238  -0.02

Summary:
spin magnetization: 3.1 μB/f.u.
calculated volume: 11.8 Å³/atom
energy relative to the elements: -0.274 eV per atom
energy: -0.2284 hartree per atom